Record 1
12
Lattice="-2.389 0.211 5.835 3.940 -4.654 -1.619 8.779 8.101 2.167" Properties=species:S:1:pos:R:3 comment="Pm6Pr3Y2Th | Alexandria via LeMat-Bulk | GGA-PBE | optimized geometry" spacegroup=C2/m n_ef_per_ev_cell=17.70 rho_g_cm3=6.9 crystal_system=monoclinic e_tot_ev_per_cell=-62.87 pbc="T T T"
Pm 7.006 5.013 2.676
Pm 3.325 -1.355 3.707
Y 1.830 -3.032 0.866
Y -0.279 -1.411 3.350
Pr 7.275 0.208 0.707
Th 0.000 0.000 0.000
Pm 8.835 1.966 3.584
Pm 1.495 1.692 2.798
Pr 3.056 3.451 5.676
Pr 5.165 1.829 3.191
Pm 3.578 0.091 0.345
Pm 6.752 3.567 6.038



Record 2
11
Lattice="-6.063 -2.935 0.089 4.809 0.020 4.717 -2.954 11.732 -0.551" Properties=species:S:1:pos:R:3 comment="Pm2Pr2Y6Th | Alexandria via LeMat-Bulk | GGA-PBE | optimized geometry" spacegroup=Cmmm n_ef_per_ev_cell=16.95 rho_g_cm3=5.9 crystal_system=orthorhombic e_tot_ev_per_cell=-63.66 pbc="T T T"
Pm 0.114 5.012 3.072
Y -1.235 2.590 1.247
Pm -4.322 3.806 1.183
Y 0.121 0.832 3.985
Pr -4.609 -2.540 0.708
Y -3.136 -0.053 2.599
Th -1.477 5.866 -0.276
Y -1.072 8.870 1.656
Pr 3.355 -0.375 4.098
Y -4.329 7.985 0.270
Y -2.973 6.228 3.008



Record 3
12
Lattice="-5.418 -0.397 -3.118 2.892 -5.212 1.927 -4.982 2.364 10.464" Properties=species:S:1:pos:R:3 comment="Pm3PrY6Th2 | Alexandria via LeMat-Bulk | GGA-PBE | optimized geometry" spacegroup=C2/m n_ef_per_ev_cell=16.28 rho_g_cm3=6.6 crystal_system=monoclinic e_tot_ev_per_cell=-72.35 pbc="T T T"
Pm -3.754 -1.622 4.636
Y -3.108 -3.592 1.692
Y -4.240 -3.229 7.850
Pr 0.000 0.000 0.000
Pm -6.528 -0.015 2.953
Y -7.051 -1.600 6.143
Y -4.400 0.348 7.581
Th -2.648 -2.002 -1.436
Th 0.121 -3.607 0.245
Pm -0.981 -3.229 6.320
Y -3.269 -0.016 1.423
Y -0.457 -1.645 3.130



Record 4
4
Lattice="-1.231 -5.162 1.340 1.576 -4.119 -3.241 3.948 -3.417 1.641" Properties=species:S:1:pos:R:3 comment="PmPrThZn | Alexandria via LeMat-Bulk | GGA-PBE | optimized geometry" spacegroup=F-43m n_ef_per_ev_cell=7.46 rho_g_cm3=8.4 crystal_system=cubic e_tot_ev_per_cell=-17.74 pbc="T T T"
Pr 3.220 -9.523 -0.195
Th 1.073 -3.174 -0.065
Zn 0.000 0.000 0.000
Pm 2.147 -6.349 -0.130



Record 5
4
Lattice="-1.483 -0.986 -2.936 1.074 -2.845 -1.595 -8.227 -7.859 4.783" Properties=species:S:1:pos:R:3 comment="PmPr2Ti | Alexandria via LeMat-Bulk | GGA-PBE | optimized geometry" spacegroup=R-3m n_ef_per_ev_cell=6.92 rho_g_cm3=6.3 crystal_system=trigonal e_tot_ev_per_cell=-20.32 pbc="T T T"
Pr -6.245 -6.246 3.242
Ti 0.000 0.000 0.000
Pr -2.391 -5.443 -2.990
Pm -4.318 -5.845 0.126



Record 6
4
Lattice="-0.419 -2.359 2.449 -1.636 -2.927 -0.703 9.838 -6.889 -2.554" Properties=species:S:1:pos:R:3 comment="Pm2PrTi | Alexandria via LeMat-Bulk | GGA-PBE | optimized geometry" spacegroup=R-3m n_ef_per_ev_cell=5.98 rho_g_cm3=6.5 crystal_system=trigonal e_tot_ev_per_cell=-20.32 pbc="T T T"
Pr 3.892 -6.087 -0.403
Ti 0.000 0.000 0.000
Pm 0.525 -6.543 0.978
Pm 7.259 -5.632 -1.785



Record 7
20
Lattice="0.092 6.402 6.378 -6.105 -5.789 3.299 7.743 -4.355 1.659" Properties=species:S:1:pos:R:3 comment="Pm12PrTl7 | Alexandria via LeMat-Bulk | GGA-PBE | optimized geometry" spacegroup=R-3 n_ef_per_ev_cell=24.97 rho_g_cm3=8.0 crystal_system=trigonal e_tot_ev_per_cell=-78.99 pbc="T T T"
Pm 2.224 0.505 3.889
Pm 1.165 -3.356 2.776
Pm -0.429 1.994 5.891
Pm -2.735 -1.567 7.568
Tl -0.183 1.895 2.524
Pm 3.677 0.596 7.303
Tl -1.751 -2.228 1.402
Pm -1.946 -4.338 4.032
Tl 1.914 -5.637 8.812
Pm 4.465 -2.176 3.767
Pm 2.159 -5.736 5.444
Pm -1.747 -0.702 4.097
Pr 0.000 0.000 0.000
Tl 3.481 -1.514 9.934
Pm -0.494 -4.247 7.446
Pm 0.565 -0.386 8.559
Tl -0.960 -2.440 10.306
Tl 0.865 -1.871 5.668
Tl 2.690 -1.303 1.029
Pm 3.477 -3.041 7.238



Record 8
20
Lattice="-2.685 -2.885 8.031 4.006 -7.223 -1.255 7.821 3.655 3.928" Properties=species:S:1:pos:R:3 comment="PmPr5Tl4 | Alexandria via LeMat-Bulk | GGA-PBE | optimized geometry" spacegroup=Pmmn n_ef_per_ev_cell=19.06 rho_g_cm3=7.8 crystal_system=orthorhombic e_tot_ev_per_cell=-77.75 pbc="T T T"
Pr 3.452 -6.439 6.108
Pm -1.813 -1.947 5.422
Tl -0.184 -4.014 4.101
Pr 3.696 1.597 2.606
Pr 8.556 -3.221 4.402
Pr -0.468 -6.265 6.761
Pr 6.499 -5.016 7.638
Tl 3.412 -0.655 5.266
Pr 4.458 -1.335 8.278
Pr 6.591 0.322 5.018
Tl 1.170 -6.454 3.677
Tl -1.407 -2.280 8.636
Pm 5.041 -2.721 3.946
Tl 7.171 -1.203 2.005
Pr 3.782 -5.452 2.004
Tl 3.878 0.190 11.290
Pr 1.411 -2.759 6.748
Tl 6.065 -5.438 4.436
Tl 4.635 -2.388 0.732
Pr 1.817 -1.909 2.620



Record 9
4
Lattice="5.612 0.000 0.000 2.806 4.861 0.000 2.806 1.620 4.583" Properties=species:S:1:pos:R:3 comment="Pm2PrTl | Alexandria via LeMat-Bulk | GGA-PBE | optimized geometry" spacegroup=Fm-3m n_ef_per_ev_cell=6.11 rho_g_cm3=8.4 crystal_system=cubic e_tot_ev_per_cell=-16.82 pbc="T T T"
Tl 5.612 3.240 2.291
Pr 0.000 0.000 0.000
Pm 2.806 1.620 1.146
Pm 8.419 4.861 3.437



Record 10
7
Lattice="-3.278 1.572 4.845 -4.961 0.321 -3.461 2.920 -7.014 0.465" Properties=species:S:1:pos:R:3 comment="Pm4PrTl2 | Alexandria via LeMat-Bulk | GGA-PBE | optimized geometry" spacegroup=I4/mmm n_ef_per_ev_cell=8.81 rho_g_cm3=8.1 crystal_system=tetragonal e_tot_ev_per_cell=-27.54 pbc="T T T"
Tl -0.879 -4.445 0.847
Pr 0.000 0.000 0.000
Pm -2.239 -2.248 3.001
Tl -4.440 -0.677 1.001
Pm -2.480 0.160 -1.730
Pm -3.080 -2.874 -1.152
Pm -1.639 0.786 2.422



Record 11
14
Lattice="-8.204 0.550 0.969 1.964 -7.678 -2.398 3.792 1.683 7.166" Properties=species:S:1:pos:R:3 comment="PmPr5Tl8 | Alexandria via LeMat-Bulk | GGA-PBE | optimized geometry" spacegroup=I-4 n_ef_per_ev_cell=13.24 rho_g_cm3=9.4 crystal_system=tetragonal e_tot_ev_per_cell=-51.92 pbc="T T T"
Tl -4.576 -0.865 2.885
Tl -1.832 -3.900 0.517
Tl -0.965 -1.368 5.863
Tl -5.043 1.050 5.785
Pm 1.775 -2.439 4.418
Tl 2.477 -4.756 2.209
Tl -0.464 -1.161 2.400
Tl 0.030 -5.197 4.680
Tl 0.580 -5.582 -1.391
Pr -2.206 1.116 4.068
Pr -4.542 -5.818 0.534
Pr -2.808 -0.749 0.083
Pr -2.553 -3.365 3.709
Pr -6.991 -2.092 0.952



Record 12
11
Lattice="-0.871 0.817 -3.380 4.703 -5.439 -2.526 -12.712 -7.241 3.425" Properties=species:S:1:pos:R:3 comment="Pm2Pr5Tl4 | Alexandria via LeMat-Bulk | GGA-PBE | optimized geometry" spacegroup=Immm n_ef_per_ev_cell=15.14 rho_g_cm3=7.6 crystal_system=orthorhombic e_tot_ev_per_cell=-40.39 pbc="T T T"
Tl 1.515 -1.753 -0.814
Pr -0.435 0.408 -1.690
Pr -8.143 -4.058 -0.784
Tl -8.288 -7.334 0.362
Pm -2.126 -1.881 0.093
Pr -3.043 -5.139 -0.458
Pr -0.737 -7.807 -1.697
Pm -6.754 -9.983 -2.574
Pr -5.837 -6.725 -2.023
Tl 3.187 -3.687 -1.712
Tl -0.592 -4.531 -2.843